1.
Compound: KNpCr2O8
Source: Alexandria
Functional: GGA+U
Structure: relaxed

The structure belongs to space group P-1 (No. 2); the cell edges are 5.2017, 5.2687 and 7.9984 Å and the angles 100.53°, 92.77° and 94.66°. Symmetry generates all atoms from K at (0.0000, 0.0000, 0.0000), Np at (0.0000, 0.0000, 0.5000), Cr at (0.3997, 0.5083, 0.3315), O at (0.1643, 0.8846, 0.6740), O at (0.1885, 0.7661, 0.3177), O at (0.3152, 0.3359, 0.5140) and O at (0.4257, 0.3310, 0.1442).

The total energy is -7.60 eV/atom.

---

2.
Compound: K3Np2CrO9
Source: Alexandria
Functional: GGA+U
Structure: relaxed

The structure belongs to space group P-3m1 (No. 164); the cell edges are 5.8629, 5.8629 and 7.2000 Å and the angles 90.00°, 90.00° and 120.00°. Symmetry generates all atoms from K at (0.0000, 0.0000, 0.0000), K at (0.3333, 0.6667, 0.6623), Np at (0.3333, 0.6667, 0.1808), Cr at (0.0000, 0.0000, 0.5000), O at (0.0000, 0.5000, 0.0000) and O at (0.1657, 0.3315, 0.3359).

The total energy is -7.84 eV/atom.